Record 1
{
  "formula": "Ac2Cu3SnAu12",
  "functional": "PBE",
  "state": "relaxed",
  "magmom_total_mub_per_atom": 0.000,
  "e_form_ev_per_atom": -0.07,
  "vol_a3_per_cell": 440.34,
  "lattice": [[4.2149, 2.4335, 7.1551], [-4.2149, 2.4335, 7.1551], [0.0000, -4.8670, 7.1551]],
  "species": ["Ac", "Ac", "Cu", "Cu", "Cu", "Sn", "Au", "Au", "Au", "Au", "Au", "Au", "Au", "Au", "Au", "Au", "Au", "Au"],
  "frac_coords": [[0.1176, 0.1176, 0.1176], [0.8824, 0.8824, 0.8824], [0.0000, 0.5000, 0.5000], [0.5000, 0.0000, 0.5000], [0.5000, 0.5000, 0.0000], [0.5000, 0.5000, 0.5000], [0.1040, 0.6251, 0.6251], [0.1356, 0.1356, 0.6239], [0.1356, 0.6239, 0.1356], [0.3749, 0.3749, 0.8960], [0.3749, 0.8960, 0.3749], [0.3761, 0.8644, 0.8644], [0.6239, 0.1356, 0.1356], [0.6251, 0.1040, 0.6251], [0.6251, 0.6251, 0.1040], [0.8644, 0.3761, 0.8644], [0.8644, 0.8644, 0.3761], [0.8960, 0.3749, 0.3749]]
}



Record 2
{
  "formula": "AcCu2SnAu4",
  "functional": "PBE",
  "state": "relaxed",
  "magmom_total_mub_per_atom": 0.000,
  "e_form_ev_per_atom": -0.28,
  "vol_a3_per_cell": 171.53,
  "lattice": [[2.2284, 1.2866, 9.9709], [-2.2284, 1.2866, 9.9709], [0.0000, -2.5732, 9.9709]],
  "species": ["Ac", "Cu", "Cu", "Sn", "Au", "Au", "Au", "Au"],
  "frac_coords": [[0.0000, 0.0000, 0.0000], [0.2459, 0.2459, 0.2459], [0.7541, 0.7541, 0.7541], [0.5000, 0.5000, 0.5000], [0.1177, 0.1177, 0.1177], [0.3984, 0.3984, 0.3984], [0.6016, 0.6016, 0.6016], [0.8823, 0.8823, 0.8823]]
}



Record 3
{
  "formula": "AcTbCuAu",
  "functional": "PBE",
  "state": "relaxed",
  "magmom_total_mub_per_atom": 0.000,
  "e_form_ev_per_atom": -0.47,
  "vol_a3_per_cell": 212.37,
  "lattice": [[4.7634, 0.0000, 0.0000], [0.0000, 4.0612, 0.0000], [0.0000, 0.0000, 10.9778]],
  "species": ["Ac", "Ac", "Tb", "Tb", "Cu", "Cu", "Au", "Au"],
  "frac_coords": [[0.0000, 0.0000, 0.0000], [0.0000, 0.5000, 0.5000], [0.5000, 0.0000, 0.7203], [0.5000, 0.5000, 0.2203], [0.0000, 0.0000, 0.2780], [0.0000, 0.5000, 0.7780], [0.5000, 0.0000, 0.4256], [0.5000, 0.5000, 0.9256]]
}



Record 4
{
  "formula": "AcTbCuAu",
  "functional": "PBE",
  "state": "relaxed",
  "magmom_total_mub_per_atom": 0.000,
  "e_form_ev_per_atom": -0.42,
  "vol_a3_per_cell": 414.43,
  "lattice": [[7.4556, 0.0000, 0.0000], [0.0000, 7.4556, 0.0000], [0.0000, 0.0000, 7.4556]],
  "species": ["Ac", "Ac", "Ac", "Ac", "Tb", "Tb", "Tb", "Tb", "Cu", "Cu", "Cu", "Cu", "Au", "Au", "Au", "Au"],
  "frac_coords": [[0.0000, 0.0000, 0.0000], [0.0000, 0.5000, 0.5000], [0.5000, 0.0000, 0.5000], [0.5000, 0.5000, 0.0000], [0.0000, 0.0000, 0.5000], [0.0000, 0.5000, 0.0000], [0.5000, 0.0000, 0.0000], [0.5000, 0.5000, 0.5000], [0.2500, 0.2500, 0.7500], [0.2500, 0.7500, 0.2500], [0.7500, 0.2500, 0.2500], [0.7500, 0.7500, 0.7500], [0.2500, 0.2500, 0.2500], [0.2500, 0.7500, 0.7500], [0.7500, 0.2500, 0.7500], [0.7500, 0.7500, 0.2500]]
}



Record 5
{
  "formula": "AcThCuAu",
  "functional": "PBE",
  "state": "relaxed",
  "magmom_total_mub_per_atom": 0.001,
  "e_form_ev_per_atom": -0.28,
  "vol_a3_per_cell": 424.26,
  "lattice": [[7.5141, 0.0000, 0.0000], [0.0000, 7.5141, 0.0000], [0.0000, 0.0000, 7.5141]],
  "species": ["Ac", "Ac", "Ac", "Ac", "Th", "Th", "Th", "Th", "Cu", "Cu", "Cu", "Cu", "Au", "Au", "Au", "Au"],
  "frac_coords": [[0.0000, 0.0000, 0.0000], [0.0000, 0.5000, 0.5000], [0.5000, 0.0000, 0.5000], [0.5000, 0.5000, 0.0000], [0.0000, 0.0000, 0.5000], [0.0000, 0.5000, 0.0000], [0.5000, 0.0000, 0.0000], [0.5000, 0.5000, 0.5000], [0.2500, 0.2500, 0.2500], [0.2500, 0.7500, 0.7500], [0.7500, 0.2500, 0.7500], [0.7500, 0.7500, 0.2500], [0.2500, 0.2500, 0.7500], [0.2500, 0.7500, 0.2500], [0.7500, 0.2500, 0.2500], [0.7500, 0.7500, 0.7500]]
}



Record 6
{
  "formula": "AcTmCuAu",
  "functional": "PBE",
  "state": "relaxed",
  "magmom_total_mub_per_atom": 0.000,
  "e_form_ev_per_atom": -0.42,
  "vol_a3_per_cell": 406.70,
  "lattice": [[7.4090, 0.0000, 0.0000], [0.0000, 7.4090, 0.0000], [0.0000, 0.0000, 7.4090]],
  "species": ["Ac", "Ac", "Ac", "Ac", "Tm", "Tm", "Tm", "Tm", "Cu", "Cu", "Cu", "Cu", "Au", "Au", "Au", "Au"],
  "frac_coords": [[0.0000, 0.0000, 0.0000], [0.0000, 0.5000, 0.5000], [0.5000, 0.0000, 0.5000], [0.5000, 0.5000, 0.0000], [0.0000, 0.0000, 0.5000], [0.0000, 0.5000, 0.0000], [0.5000, 0.0000, 0.0000], [0.5000, 0.5000, 0.5000], [0.2500, 0.2500, 0.2500], [0.2500, 0.7500, 0.7500], [0.7500, 0.2500, 0.7500], [0.7500, 0.7500, 0.2500], [0.2500, 0.2500, 0.7500], [0.2500, 0.7500, 0.2500], [0.7500, 0.2500, 0.2500], [0.7500, 0.7500, 0.7500]]
}



Record 7
{
  "formula": "AcYCuAu",
  "functional": "PBE",
  "state": "relaxed",
  "magmom_total_mub_per_atom": 0.000,
  "e_form_ev_per_atom": -0.42,
  "vol_a3_per_cell": 414.80,
  "lattice": [[7.4578, 0.0000, 0.0000], [0.0000, 7.4578, 0.0000], [0.0000, 0.0000, 7.4578]],
  "species": ["Ac", "Ac", "Ac", "Ac", "Y", "Y", "Y", "Y", "Cu", "Cu", "Cu", "Cu", "Au", "Au", "Au", "Au"],
  "frac_coords": [[0.0000, 0.0000, 0.0000], [0.0000, 0.5000, 0.5000], [0.5000, 0.0000, 0.5000], [0.5000, 0.5000, 0.0000], [0.0000, 0.0000, 0.5000], [0.0000, 0.5000, 0.0000], [0.5000, 0.0000, 0.0000], [0.5000, 0.5000, 0.5000], [0.2500, 0.2500, 0.2500], [0.2500, 0.7500, 0.7500], [0.7500, 0.2500, 0.7500], [0.7500, 0.7500, 0.2500], [0.2500, 0.2500, 0.7500], [0.2500, 0.7500, 0.2500], [0.7500, 0.2500, 0.2500], [0.7500, 0.7500, 0.7500]]
}



Record 8
{
  "formula": "Ac2Zn3Cu12Au",
  "functional": "PBE",
  "state": "relaxed",
  "magmom_total_mub_per_atom": 0.000,
  "e_form_ev_per_atom": 0.23,
  "vol_a3_per_cell": 369.16,
  "lattice": [[4.1091, 2.3724, 6.3115], [-4.1091, 2.3724, 6.3115], [0.0000, -4.7448, 6.3115]],
  "species": ["Ac", "Ac", "Zn", "Zn", "Zn", "Cu", "Cu", "Cu", "Cu", "Cu", "Cu", "Cu", "Cu", "Cu", "Cu", "Cu", "Cu", "Au"],
  "frac_coords": [[0.1041, 0.1041, 0.1041], [0.8959, 0.8959, 0.8959], [0.0000, 0.5000, 0.5000], [0.5000, 0.0000, 0.5000], [0.5000, 0.5000, 0.0000], [0.1358, 0.6321, 0.6321], [0.1545, 0.1545, 0.4746], [0.1545, 0.4746, 0.1545], [0.3679, 0.3679, 0.8642], [0.3679, 0.8642, 0.3679], [0.4746, 0.1545, 0.1545], [0.5254, 0.8455, 0.8455], [0.6321, 0.1358, 0.6321], [0.6321, 0.6321, 0.1358], [0.8455, 0.5254, 0.8455], [0.8455, 0.8455, 0.5254], [0.8642, 0.3679, 0.3679], [0.5000, 0.5000, 0.5000]]
}



Record 9
{
  "formula": "Ac2Zn4CuAu3",
  "functional": "PBE",
  "state": "relaxed",
  "magmom_total_mub_per_atom": 0.000,
  "e_form_ev_per_atom": -0.48,
  "vol_a3_per_cell": 217.29,
  "lattice": [[4.4257, 0.0000, 0.0000], [0.0000, 4.4257, 0.0000], [0.0000, 0.0000, 11.0933]],
  "species": ["Ac", "Ac", "Zn", "Zn", "Zn", "Zn", "Cu", "Au", "Au", "Au"],
  "frac_coords": [[0.0000, 0.5000, 0.2466], [0.5000, 0.0000, 0.7534], [0.0000, 0.0000, 0.5000], [0.0000, 0.5000, 0.8789], [0.5000, 0.0000, 0.1211], [0.5000, 0.5000, 0.5000], [0.5000, 0.5000, 0.0000], [0.0000, 0.0000, 0.0000], [0.0000, 0.5000, 0.6389], [0.5000, 0.0000, 0.3611]]
}



Record 10
{
  "formula": "AcZn2CuAu4",
  "functional": "PBE",
  "state": "relaxed",
  "magmom_total_mub_per_atom": 0.000,
  "e_form_ev_per_atom": -0.39,
  "vol_a3_per_cell": 160.36,
  "lattice": [[2.2402, 1.2934, 9.2244], [-2.2402, 1.2934, 9.2244], [0.0000, -2.5867, 9.2244]],
  "species": ["Ac", "Zn", "Zn", "Cu", "Au", "Au", "Au", "Au"],
  "frac_coords": [[0.0000, 0.0000, 0.0000], [0.2346, 0.2346, 0.2346], [0.7654, 0.7654, 0.7654], [0.5000, 0.5000, 0.5000], [0.1341, 0.1341, 0.1341], [0.4034, 0.4034, 0.4034], [0.5966, 0.5966, 0.5966], [0.8659, 0.8659, 0.8659]]
}



Record 11
{
  "formula": "AcZnCuAu",
  "functional": "PBE",
  "state": "relaxed",
  "magmom_total_mub_per_atom": 0.000,
  "e_form_ev_per_atom": -0.25,
  "vol_a3_per_cell": 364.64,
  "lattice": [[7.1442, 0.0000, 0.0000], [0.0000, 7.1442, 0.0000], [0.0000, 0.0000, 7.1442]],
  "species": ["Ac", "Ac", "Ac", "Ac", "Zn", "Zn", "Zn", "Zn", "Cu", "Cu", "Cu", "Cu", "Au", "Au", "Au", "Au"],
  "frac_coords": [[0.0000, 0.0000, 0.0000], [0.0000, 0.5000, 0.5000], [0.5000, 0.0000, 0.5000], [0.5000, 0.5000, 0.0000], [0.0000, 0.0000, 0.5000], [0.0000, 0.5000, 0.0000], [0.5000, 0.0000, 0.0000], [0.5000, 0.5000, 0.5000], [0.2500, 0.2500, 0.2500], [0.2500, 0.7500, 0.7500], [0.7500, 0.2500, 0.7500], [0.7500, 0.7500, 0.2500], [0.2500, 0.2500, 0.7500], [0.2500, 0.7500, 0.2500], [0.7500, 0.2500, 0.2500], [0.7500, 0.7500, 0.7500]]
}



Record 12
{
  "formula": "Ac3Zn2CuAu6",
  "functional": "PBE",
  "state": "relaxed",
  "magmom_total_mub_per_atom": 0.000,
  "e_form_ev_per_atom": -0.44,
  "vol_a3_per_cell": 305.09,
  "lattice": [[6.4899, 0.0000, 0.0000], [-3.2449, 5.6204, 0.0000], [0.0000, 0.0000, 8.3643]],
  "species": ["Ac", "Ac", "Ac", "Zn", "Zn", "Cu", "Au", "Au", "Au", "Au", "Au", "Au"],
  "frac_coords": [[0.0000, 0.0000, 0.0000], [0.3333, 0.6667, 0.6490], [0.6667, 0.3333, 0.3510], [0.3333, 0.6667, 0.0487], [0.6667, 0.3333, 0.9513], [0.0000, 0.0000, 0.5000], [0.1800, 0.3599, 0.2992], [0.1800, 0.8200, 0.2992], [0.3599, 0.1800, 0.7008], [0.6401, 0.8200, 0.2992], [0.8200, 0.1800, 0.7008], [0.8200, 0.6401, 0.7008]]
}